(1)
Pa2BeSi4Pd3 | PBE | relaxed

Properties
Spin magnetization   0.001 Bohr magnetons per cell
Density   8.897 g/cm³
DFT total energy   -6.6142 eV/atom

Geometry as POSCAR:
```
Pa2BeSi4Pd3
1.0
4.168 0.000 0.000
0.000 4.168 0.000
0.000 0.000 9.697
Si Pd Be Pa
4 3 1 2
Cartesian
2.084 0.000 6.102
0.000 0.000 0.000
2.084 2.084 0.000
0.000 2.084 3.594
0.000 2.084 1.210
0.000 0.000 4.848
2.084 0.000 8.487
2.084 2.084 4.848
0.000 2.084 7.209
2.084 0.000 2.488
```

(2)
Pm2Ge4Rh | PBE | relaxed

Properties
Spin magnetization   0.000 Bohr magnetons per cell
Energy relative to the lowest polymorph listed for this composition   19 meV per atom
Density   7.090 g/cm³
Formation energy   -0.5369 eV/atom
DFT total energy   -5.5829 eV/atom

Geometry as POSCAR:
```
Pm2Ge4Rh
1.0
6.159 -0.124 0.000
-0.220 6.156 0.000
-2.969 -3.016 4.225
Rh Ge Pm
1 4 2
Cartesian
-0.218 6.154 0.000
4.230 4.298 0.000
0.000 0.000 2.434
2.969 3.016 1.791
1.707 1.736 0.000
3.079 -0.062 2.113
-0.110 3.078 2.113
```